Entry 1:
Entry from Alexandria via LeMat-Bulk: AgSnHgSe4 after structural relaxation (PBE-GGA).

abc: 8.280 8.280 8.280
angles: 123.71 122.46 84.74
Fractional coordinates of all 14 atoms:
Ag: 0.500 0.000 0.000
Ag: 0.500 0.500 0.500
Sn: 0.000 0.000 0.000
Sn: 0.500 0.000 0.500
Hg: 0.095 0.345 0.750
Hg: 0.905 0.655 0.250
Se: 0.252 0.246 0.495
Se: 0.252 0.757 0.005
Se: 0.258 0.226 0.032
Se: 0.306 0.774 0.532
Se: 0.694 0.226 0.468
Se: 0.742 0.774 0.968
Se: 0.748 0.243 0.995
Se: 0.748 0.754 0.505

- ΔE_f (raw) (meV/atom) = -171
- uncorrected energy (eV/atom) = -3.184


Entry 2:
Entry from Alexandria via LeMat-Bulk: TlPN2 after structural relaxation (PBE-GGA).

abc: 4.150 4.150 4.150
angles: 60.00 60.00 60.00
Fractional coordinates of all 4 atoms:
Tl: 0.000 0.000 0.000
P: 0.500 0.500 0.500
N: 0.250 0.250 0.250
N: 0.750 0.750 0.750

- ΔE_f (raw) (meV/atom) = 1926
- offset from the most stable computed form (meV per atom) = 1970
- uncorrected energy (eV/atom) = -4.181


Entry 3:
Entry from Alexandria via LeMat-Bulk: Er8Ni2Pt after structural relaxation (PBE-GGA).

abc: 7.456 7.456 5.806
angles: 99.81 99.81 113.28
Fractional coordinates of all 11 atoms:
Er: 0.000 0.000 0.000
Er: 0.027 0.287 0.579
Er: 0.146 0.585 0.182
Er: 0.287 0.027 0.579
Er: 0.444 0.706 0.772
Er: 0.585 0.146 0.182
Er: 0.706 0.444 0.772
Er: 0.731 0.731 0.364
Ni: 0.059 0.674 0.682
Ni: 0.674 0.059 0.682
Pt: 0.366 0.366 0.336

- offset from the most stable computed form (meV per atom) = 91
- DFT formation energy (eV per formula unit) = -3.49
- uncorrected energy (eV/atom) = -5.236


Entry 4:
Entry from Alexandria via LeMat-Bulk: AlFeS3 after structural relaxation (PBE-GGA).

abc: 4.498 4.498 4.498
angles: 90.00 90.00 90.00
Fractional coordinates of all 5 atoms:
Al: 0.000 0.000 0.000
Fe: 0.500 0.500 0.500
S: 0.000 0.500 0.500
S: 0.500 0.000 0.500
S: 0.500 0.500 0.000

- ΔE_f (raw) (meV/atom) = 243
- uncorrected energy (eV/atom) = -4.675


Entry 5:
Entry from Alexandria via LeMat-Bulk: Tl2P2PbS7 after structural relaxation (PBE-GGA).

abc: 10.031 10.031 10.031
angles: 36.42 36.42 36.42
Fractional coordinates of all 12 atoms:
Tl: 0.181 0.181 0.181
Tl: 0.819 0.819 0.819
P: 0.419 0.419 0.419
P: 0.581 0.581 0.581
Pb: 0.000 0.000 0.000
S: 0.072 0.438 0.695
S: 0.305 0.562 0.928
S: 0.438 0.695 0.072
S: 0.500 0.500 0.500
S: 0.562 0.928 0.305
S: 0.695 0.072 0.438
S: 0.928 0.305 0.562

- ΔE_f (raw) (meV/atom) = -264
- uncorrected energy (eV/atom) = -4.276


Entry 6:
Entry from Alexandria via LeMat-Bulk: Cs8K2Au after structural relaxation (PBE-GGA).

abc: 14.024 14.024 9.885
angles: 110.33 110.33 33.12
Fractional coordinates of all 11 atoms:
Cs: 0.008 0.008 0.232
Cs: 0.211 0.211 0.145
Cs: 0.374 0.374 0.695
Cs: 0.414 0.414 0.217
Cs: 0.586 0.586 0.783
Cs: 0.626 0.626 0.305
Cs: 0.789 0.789 0.855
Cs: 0.992 0.992 0.768
K: 0.178 0.178 0.631
K: 0.822 0.822 0.369
Au: 0.500 0.500 0.000

- DFT formation energy (eV per formula unit) = -0.46
- uncorrected energy (eV/atom) = -1.160


Entry 7:
Entry from Alexandria via LeMat-Bulk: Sm2Y5Er3 after structural relaxation (PBE-GGA).

abc: 9.645 9.645 9.348
angles: 108.37 108.37 112.74
Fractional coordinates of all 20 atoms:
Sm: 0.019 0.265 0.044
Sm: 0.265 0.019 0.544
Sm: 0.735 0.981 0.456
Sm: 0.981 0.735 0.956
Y: 0.146 0.377 0.770
Y: 0.231 0.769 0.750
Y: 0.273 0.727 0.250
Y: 0.377 0.146 0.270
Y: 0.472 0.528 0.250
Y: 0.528 0.472 0.750
Y: 0.623 0.854 0.730
Y: 0.727 0.273 0.750
Y: 0.769 0.231 0.250
Y: 0.854 0.623 0.230
Er: 0.027 0.973 0.750
Er: 0.224 0.465 0.451
Er: 0.465 0.224 0.951
Er: 0.535 0.776 0.049
Er: 0.776 0.535 0.549
Er: 0.973 0.027 0.250

- DFT formation energy (eV per formula unit) = 1.89
- uncorrected energy (eV/atom) = -5.355


Entry 8:
Entry from Alexandria via LeMat-Bulk: CsMgCdTe2 after structural relaxation (PBE-GGA).

abc: 5.729 5.729 6.708
angles: 90.00 90.00 90.00
Fractional coordinates of all 5 atoms:
Cs: 0.000 0.000 0.000
Mg: 0.500 0.500 0.000
Cd: 0.000 0.000 0.500
Te: 0.000 0.500 0.500
Te: 0.500 0.000 0.500

- ΔE_f (raw) (meV/atom) = 68
- uncorrected energy (eV/atom) = -1.861


Entry 9:
Entry from Alexandria via LeMat-Bulk: Cs2CuWS4 after structural relaxation (PBE-GGA).

abc: 14.454 12.818 7.764
angles: 85.49 62.14 32.37
Fractional coordinates of all 16 atoms:
Cs: 0.052 0.052 0.698
Cs: 0.302 0.302 0.948
Cs: 0.698 0.698 0.052
Cs: 0.948 0.948 0.302
Cu: 0.125 0.125 0.125
Cu: 0.875 0.875 0.875
W: 0.375 0.375 0.375
W: 0.625 0.625 0.625
S: 0.007 0.345 0.424
S: 0.276 0.576 0.655
S: 0.345 0.007 0.724
S: 0.424 0.724 0.007
S: 0.576 0.276 0.993
S: 0.655 0.993 0.276
S: 0.724 0.424 0.345
S: 0.993 0.655 0.576

- ΔE_f (raw) (meV/atom) = -829
- uncorrected energy (eV/atom) = -5.238


Entry 10:
Entry from Alexandria via LeMat-Bulk: AcS4 after structural relaxation (PBE-GGA).

abc: 5.479 5.479 7.169
angles: 110.76 110.76 48.83
Fractional coordinates of all 5 atoms:
Ac: 0.000 0.000 0.000
S: 0.319 0.319 0.751
S: 0.483 0.483 0.277
S: 0.517 0.517 0.723
S: 0.681 0.681 0.249

- ΔE_f (raw) (meV/atom) = -862
- offset from the most stable computed form (meV per atom) = 0
- uncorrected energy (eV/atom) = -4.985


> The lowest uncorrected energy belongs to which entry?

Sm2Y5Er3